No. 1
DFT (PBE) results for a geometry-optimized Fe2PbBr structure.

- uncorrected energy (Ry per atom) = -0.391
- DOS at the Fermi energy (states/eV per cell) = 3.3
- formation energy without anion corrections (eV per atom) = 0.26
- polymorph energy (0 for the lowest one) (meV per atom) = 60.5

Lattice parameters (Å, degrees): 3.3983 3.5840 7.5646 90.00 90.11 90.00
Last column: nearest neighbours and their distance in Å.
Space group Pm (No. 6)
Inequivalent atoms, fractional coordinates:
Fe  0.0000  0.0000  0.0000  4 Fe 2.47, 2 Br 2.60
Fe  0.5000  0.5000  0.0116  4 Fe 2.47, 2 Br 2.60
Pb  0.5023  0.0000  0.3158  4 Fe 2.92-2.93
Br  0.9989  0.5000  0.7510  4 Fe 2.60

No. 2
DFT (PBE) results for a geometry-optimized Ce3Tl3CrS8 structure.

- uncorrected energy (Ry per atom) = -0.422
- DOS at the Fermi energy (states/eV per cell) = 45.5
- formation energy without anion corrections (eV per atom) = -1.24

Lattice parameters (Å, degrees): 8.0202 8.0202 22.6975 90.00 90.00 120.00
Last column: nearest neighbours and their distance in Å.
Space group R-3m (No. 166, hexagonal axes)
Inequivalent atoms, fractional coordinates:
Ce  0.0000  0.5000  0.0000  6 S 2.79-2.80
Tl  0.0000  0.5000  0.5000  6 S 3.22-3.26
Cr  0.0000  0.0000  0.0000  6 S 2.52
S  0.0000  0.0000  0.2650  3 Ce 2.79
S  0.0311  0.5156  0.7279  1 Cr 2.52, 2 Ce 2.80

No. 3
DFT (PBE) results for a geometry-optimized B2IrPt structure.

- uncorrected energy (Ry per atom) = -0.494
- DOS at the Fermi energy (states/eV per cell) = 4.3
- polymorph energy (0 for the lowest one) (meV per atom) = 332.6
- DFT formation energy (eV per atom) = 0.339

Lattice parameters (Å, degrees): 2.7822 2.7822 21.8657 90.00 90.00 120.00
Last column: nearest neighbours and their distance in Å.
Space group R-3m (No. 166, hexagonal axes)
Inequivalent atoms, fractional coordinates:
B  0.0000  0.0000  0.0961  1 Pt 2.10, 3 Ir 2.23
Ir  0.0000  0.0000  0.5000  6 B 2.23
Pt  0.0000  0.0000  0.0000  2 B 2.10

No. 4
DFT (PBE) results for a geometry-optimized Al2CuAs structure.

- uncorrected energy (Ry per atom) = -0.294
- DOS at the Fermi energy (states/eV per cell) = 2.8
- DFT formation energy (eV per atom) = 0.055

Lattice parameters (Å, degrees): 9.7082 2.7973 4.9247 90.00 105.70 90.00
Last column: nearest neighbours and their distance in Å.
Space group Cm (No. 8)
Inequivalent atoms, fractional coordinates:
Al  0.0000  0.0000  0.0000  3 Cu 2.60-2.87, 2 Al 2.80, 4 As 2.81-2.89
Al  0.2364  0.0000  0.6949  2 Cu 2.65, 3 As 2.74-2.91, 4 Al 2.80-2.95
Cu  0.2345  0.5000  0.1518  5 Al 2.60-2.87, 2 As 2.76, 2 Cu 2.80
As  0.4661  0.0000  0.4734  7 Al 2.74-2.91, 2 Cu 2.76, 2 As 2.80

No. 5
DFT (PBE) results for a geometry-optimized Cd2TcOs structure.

- uncorrected energy (Ry per atom) = -0.395
- DOS at the Fermi energy (states/eV per cell) = 6.9
- polymorph energy (0 for the lowest one) (meV per atom) = 329.4
- DFT formation energy (eV per atom) = 0.488

Lattice parameters (Å, degrees): 9.0855 2.8830 5.2959 90.00 97.86 90.00
Last column: nearest neighbours and their distance in Å.
Space group Cm (No. 8)
Inequivalent atoms, fractional coordinates:
Cd  0.0000  0.0000  0.0000  5 Cd 2.69-2.88, 2 Os 2.87, 3 Tc 2.91-2.98
Cd  0.2433  0.0000  0.7636  5 Cd 2.69-2.88, 2 Tc 2.87, 3 Os 2.93-2.96
Tc  0.2531  0.5000  0.2976  3 Os 2.65-2.66, 3 Cd 2.87-2.91, 2 Tc 2.88
Os  0.4922  0.0000  0.4663  3 Tc 2.65-2.66, 3 Cd 2.87-2.93, 2 Os 2.88

No. 6
DFT (PBE) results for a geometry-optimized CoTeP3 structure.

- uncorrected energy (Ry per atom) = -0.352
- DOS at the Fermi energy (states/eV per cell) = 4.9
- formation energy without anion corrections (eV per atom) = 0.51
- polymorph energy (0 for the lowest one) (meV per atom) = 0.0

Lattice parameters (Å, degrees): 4.4525 4.4525 4.4525 90.00 90.00 90.00
Last column: nearest neighbours and their distance in Å.
Space group Pm-3m (No. 221)
Inequivalent atoms, fractional coordinates:
Co  0.0000  0.0000  0.0000  6 P 2.23
Te  0.5000  0.5000  0.5000  12 P 3.15
P  0.0000  0.0000  0.5000  2 Co 2.23

No. 7
DFT (PBE) results for a geometry-optimized ScZnMo structure.

- uncorrected energy (Ry per atom) = -0.447
- DOS at the Fermi energy (states/eV per cell) = 4.5
- polymorph energy (0 for the lowest one) (meV per atom) = 15.5
- DFT formation energy (eV per atom) = 0.058

Lattice parameters (Å, degrees): 2.9661 3.7300 9.3426 90.00 90.00 90.00
Last column: nearest neighbours and their distance in Å.
Space group Imm2 (No. 44)
Inequivalent atoms, fractional coordinates:
Sc  0.0000  0.0000  0.0000  5 Mo 2.90-3.02, 5 Zn 2.91-3.00, 2 Sc 2.97
Zn  0.0000  0.0000  0.6787  4 Mo 2.74, 5 Sc 2.91-3.00, 2 Zn 2.97
Mo  0.0000  0.0000  0.3234  4 Zn 2.74, 5 Sc 2.90-3.02, 2 Mo 2.97